Record 1
Entry from the Alexandria database: La6P2IrSe3 after structural relaxation (PBE-GGA).

Cell lengths 9.601, 9.601, 8.714 Å; angles 103.71, 103.71, 25.64 degrees
Sites, in units of the cell vectors:
La 0.003 0.003 0.238
La 0.329 0.329 0.425
La 0.341 0.341 0.909
La 0.659 0.659 0.091
La 0.671 0.671 0.575
La 0.997 0.997 0.762
P 0.166 0.166 0.336
P 0.834 0.834 0.664
Ir 0.500 0.500 0.000
Se 0.169 0.169 0.833
Se 0.500 0.500 0.500
Se 0.831 0.831 0.167

Computed properties:
**Volume**: 337.13 Å³ per cell
**Raw formation energy**: -1.68 eV per atom
**Theoretical density**: 6.5 g/cm³

=====

Record 2
Entry from the Alexandria database: LaSiPIr6 after structural relaxation (PBE-GGA).

Cell lengths 7.842, 7.842, 7.842 Å; angles 126.67, 114.32, 89.49 degrees
Sites, in units of the cell vectors:
La 0.414 0.164 0.250
La 0.586 0.836 0.750
Si 0.000 0.000 0.500
Si 0.000 0.500 0.000
P 0.000 0.500 0.500
P 0.500 0.500 0.000
Ir 0.110 0.379 0.233
Ir 0.110 0.877 0.731
Ir 0.143 0.893 0.250
Ir 0.328 0.578 0.750
Ir 0.354 0.123 0.733
Ir 0.354 0.621 0.231
Ir 0.646 0.379 0.769
Ir 0.646 0.877 0.267
Ir 0.672 0.422 0.250
Ir 0.857 0.107 0.750
Ir 0.890 0.123 0.269
Ir 0.890 0.621 0.767

Computed properties:
**Volume**: 333.49 Å³ per cell
**Raw formation energy**: -0.04 eV per atom
**Theoretical density**: 13.5 g/cm³

=====

Record 3
Entry from the Alexandria database: La2SiPIr6 after structural relaxation (PBE-GGA).

Cell lengths 5.484, 8.700, 7.955 Å; angles 90.00, 90.00, 90.00 degrees
Sites, in units of the cell vectors:
La 0.250 0.014 0.211
La 0.250 0.486 0.211
La 0.750 0.514 0.789
La 0.750 0.986 0.789
Si 0.250 0.750 0.759
Si 0.750 0.250 0.241
P 0.250 0.250 0.749
P 0.750 0.750 0.251
Ir 0.005 0.750 0.492
Ir 0.008 0.750 0.017
Ir 0.250 0.502 0.600
Ir 0.250 0.998 0.600
Ir 0.492 0.750 0.017
Ir 0.495 0.750 0.492
Ir 0.505 0.250 0.508
Ir 0.508 0.250 0.983
Ir 0.750 0.002 0.400
Ir 0.750 0.498 0.400
Ir 0.992 0.250 0.983
Ir 0.995 0.250 0.508

Computed properties:
**Volume**: 379.54 Å³ per cell
**Raw formation energy**: -0.61 eV per atom
**Theoretical density**: 13.0 g/cm³